Entry w
First-principles (PBE-GGA) data for crystalline MgBe2Ni2 at its relaxed geometry, as listed in Alexandria.

Calculated values
DOS at the Fermi energy ... 2.17 states/eV/cell

abc: 3.4130 3.4130 5.6366
angles: 72.38 72.38 90.00
Atoms (fractional coordinates):
Ni: 0.3847 0.3847 0.2307
Ni: 0.6153 0.6153 0.7693
Be: 0.7500 0.2500 0.5000
Be: 0.2500 0.7500 0.5000
Mg: 0.0000 0.0000 0.0000

=====

Entry x
First-principles (PBE-GGA) data for crystalline MgBe2Ni2 at its relaxed geometry, as listed in Alexandria.

Calculated values
DOS at the Fermi energy ... 3.47 states/eV/cell

abc: 6.5411 6.5411 2.5526
angles: 90.00 90.00 90.00
Atoms (fractional coordinates):
Be: 0.3521 0.1479 0.5000
Be: 0.8521 0.3521 0.5000
Be: 0.6479 0.8521 0.5000
Be: 0.1479 0.6479 0.5000
Ni: 0.3576 0.8576 0.0000
Ni: 0.8576 0.6424 0.0000
Ni: 0.6424 0.1424 0.0000
Ni: 0.1424 0.3576 0.0000
Mg: 0.5000 0.5000 0.0000
Mg: 0.0000 0.0000 0.0000

=====

Entry y
First-principles (PBE-GGA) data for crystalline MgBe2Ni2 at its relaxed geometry, as listed in Alexandria.

Calculated values
DOS at the Fermi energy ... 3.51 states/eV/cell

abc: 6.4247 6.4247 2.5963
angles: 90.00 90.00 90.00
Atoms (fractional coordinates):
Mg: 0.0000 0.0000 0.0000
Mg: 0.5000 0.5000 0.0000
Be: 0.6220 0.1220 0.0000
Be: 0.3780 0.8780 0.0000
Be: 0.8780 0.6220 0.0000
Be: 0.1220 0.3780 0.0000
Ni: 0.6674 0.8326 0.5000
Ni: 0.3326 0.1674 0.5000
Ni: 0.8326 0.3326 0.5000
Ni: 0.1674 0.6674 0.5000

=====

What is the stability order? It is entry y, entry x, entry w, from most stable to least stable.

=====

Entry w
First-principles (PBE-GGA) data for crystalline MgBeNi3 at its relaxed geometry, as listed in Alexandria.

Calculated values
DOS at the Fermi energy ... 0.99 states/eV/cell

abc: 4.2603 4.2603 4.2603
angles: 90.00 90.00 90.00
Atoms (fractional coordinates):
Ni: 0.0000 0.5000 0.0000
Ni: 0.5000 0.0000 0.0000
Ni: 0.0000 0.0000 0.5000
Mg: 0.0000 0.0000 0.0000
Be: 0.5000 0.5000 0.5000

=====

Entry x
First-principles (PBE-GGA) data for crystalline MgBeNi3 at its relaxed geometry, as listed in Alexandria.

Calculated values
DOS at the Fermi energy ... 0.25 states/eV/cell

abc: 3.9409 3.9409 3.9409
angles: 90.00 90.00 90.00
Atoms (fractional coordinates):
Ni: 0.0000 0.0000 0.5000
Ni: 0.5000 0.0000 0.0000
Ni: 0.0000 0.5000 0.0000
Be: 0.0000 0.0000 0.0000
Mg: 0.5000 0.5000 0.5000

=====

What is the stability order? It is entry x, entry w, from most stable to least stable.

=====

Entry w
First-principles (PBE-GGA) data for crystalline MgBeOs2 at its relaxed geometry, as listed in Alexandria.

Calculated values
DOS at the Fermi energy ... 3.29 states/eV/cell

abc: 5.0602 5.0602 4.4549
angles: 64.05 64.05 32.35
Atoms (fractional coordinates):
Os: 0.9640 0.9640 0.0363
Os: 0.5360 0.5360 0.4637
Mg: 0.7500 0.7500 0.7500
Be: 0.2500 0.2500 0.2500

=====

Entry x
First-principles (PBE-GGA) data for crystalline MgBeOs2 at its relaxed geometry, as listed in Alexandria.

Calculated values
DOS at the Fermi energy ... 4.52 states/eV/cell

abc: 4.7868 4.7868 4.7868
angles: 134.22 134.22 66.75
Atoms (fractional coordinates):
Be: 0.2500 0.7500 0.5000
Os: 0.5000 0.5000 0.0000
Os: 0.0000 0.0000 0.0000
Mg: 0.7500 0.2500 0.5000

=====

Entry y
First-principles (PBE-GGA) data for crystalline MgBeOs2 at its relaxed geometry, as listed in Alexandria.

Calculated values
DOS at the Fermi energy ... 2.68 states/eV/cell

abc: 2.9309 4.4570 4.1952
angles: 90.00 90.00 90.00
Atoms (fractional coordinates):
Be: 0.5000 0.0000 0.5000
Os: 0.5000 0.5000 0.0000
Os: 0.0000 0.0000 0.0000
Mg: 0.0000 0.5000 0.5000

=====

What is the stability order? It is entry w, entry y, entry x, from most stable to least stable.

=====

Entry w
First-principles (PBE-GGA) data for crystalline MgBeOs2 at its relaxed geometry, as listed in Alexandria.

Calculated values
DOS at the Fermi energy ... 3.99 states/eV/cell

abc: 4.7307 4.7307 2.7233
angles: 90.00 90.00 114.14
Atoms (fractional coordinates):
Mg: 0.0000 0.5000 0.5000
Be: 0.5000 0.0000 0.5000
Os: 0.5000 0.5000 0.0000
Os: 0.0000 0.0000 0.0000

=====

Entry x
First-principles (PBE-GGA) data for crystalline MgBeOs2 at its relaxed geometry, as listed in Alexandria.

Calculated values
DOS at the Fermi energy ... 2.81 states/eV/cell

abc: 4.6900 4.6900 4.5363
angles: 78.74 78.74 34.68
Atoms (fractional coordinates):
Os: 0.9875 0.9875 0.0391
Os: 0.2436 0.2436 0.2366
Mg: 0.7531 0.7531 0.7273
Be: 0.5158 0.5158 0.4970

=====

What is the stability order? It is entry x, entry w, from most stable to least stable.

=====

Entry w
First-principles (PBE-GGA) data for crystalline MgBeOs2 at its relaxed geometry, as listed in Alexandria.

Calculated values
DOS at the Fermi energy ... 2.28 states/eV/cell

abc: 4.0520 2.8037 5.0670
angles: 73.93 90.00 90.00
Atoms (fractional coordinates):
Mg: 0.5000 0.7081 0.7071
Be: 0.0000 0.3031 0.5179
Os: 0.0000 0.0445 0.0359
Os: 0.5000 0.4443 0.2390

=====

Entry x
First-principles (PBE-GGA) data for crystalline MgBeOs2 at its relaxed geometry, as listed in Alexandria.

Calculated values
DOS at the Fermi energy ... 2.29 states/eV/cell

abc: 8.3330 8.3330 8.3330
angles: 19.09 19.09 19.09
Atoms (fractional coordinates):
Os: 0.9907 0.9907 0.9907
Os: 0.5093 0.5093 0.5093
Be: 0.2500 0.2500 0.2500
Mg: 0.7500 0.7500 0.7500

=====

What is the stability order? It is entry x, entry w, from most stable to least stable.

=====

Entry w
First-principles (PBE-GGA) data for crystalline MgBeOs2 at its relaxed geometry, as listed in Alexandria.

Calculated values
DOS at the Fermi energy ... 4.81 states/eV/cell

abc: 3.9895 3.7270 3.7270
angles: 90.00 90.00 90.00
Atoms (fractional coordinates):
Be: 0.5000 0.5000 0.0000
Mg: 0.5000 0.0000 0.5000
Os: 0.0000 0.5000 0.5000
Os: 0.0000 0.0000 0.0000

=====

Entry x
First-principles (PBE-GGA) data for crystalline MgBeOs2 at its relaxed geometry, as listed in Alexandria.

Calculated values
DOS at the Fermi energy ... 3.63 states/eV/cell

abc: 2.7017 2.7017 8.6690
angles: 90.00 90.00 115.63
Atoms (fractional coordinates):
Mg: 0.5000 0.5000 0.7408
Os: 0.0000 0.0000 0.0088
Os: 0.5000 0.5000 0.2694
Be: 0.0000 0.0000 0.4810

=====

Entry y
First-principles (PBE-GGA) data for crystalline MgBeOs2 at its relaxed geometry, as listed in Alexandria.

Calculated values
DOS at the Fermi energy ... 2.21 states/eV/cell

abc: 4.2332 4.2332 4.2332
angles: 119.24 119.24 91.33
Atoms (fractional coordinates):
Be: 0.5000 0.5000 0.0000
Os: 0.2500 0.7500 0.5000
Os: 0.0000 0.0000 0.0000
Mg: 0.7500 0.2500 0.5000

=====

What is the stability order? It is entry y, entry w, entry x, from most stable to least stable.

=====

Entry w
First-principles (PBE-GGA) data for crystalline MgBeP2 at its relaxed geometry, as listed in Alexandria.

Calculated values
DOS at the Fermi energy ... 1.56 states/eV/cell

abc: 4.6528 4.6528 4.6528
angles: 136.01 112.85 83.81
Atoms (fractional coordinates):
P: 0.9426 0.9426 0.0000
P: 0.5574 0.5574 0.0000
Be: 0.7500 0.2500 0.5000
Mg: 0.2500 0.7500 0.5000

=====

Entry x
First-principles (PBE-GGA) data for crystalline MgBeP2 at its relaxed geometry, as listed in Alexandria.

Calculated values
DOS at the Fermi energy ... 2.41 states/eV/cell

abc: 3.0510 3.0510 6.8311
angles: 90.00 90.00 109.48
Atoms (fractional coordinates):
P: 0.0000 0.0000 0.4597
P: 0.0000 0.0000 0.0403
Mg: 0.5000 0.5000 0.7500
Be: 0.5000 0.5000 0.2500

=====

What is the stability order? It is entry w, entry x, from most stable to least stable.

=====

Entry w
First-principles (PBE-GGA) data for crystalline MgBeP2 at its relaxed geometry, as listed in Alexandria.

Calculated values
DOS at the Fermi energy ... 1.61 states/eV/cell

abc: 4.7228 4.7228 7.3225
angles: 71.19 71.19 90.00
Atoms (fractional coordinates):
P: 0.3750 0.4998 0.7500
P: 0.5002 0.1250 0.2500
P: 0.2498 0.6250 0.2500
P: 0.8750 0.7502 0.7500
Be: 0.2500 0.7500 0.5000
Be: 0.5000 0.5000 0.0000
Mg: 0.0000 0.0000 0.0000
Mg: 0.7500 0.2500 0.5000

=====

Entry x
First-principles (PBE-GGA) data for crystalline MgBeP2 at its relaxed geometry, as listed in Alexandria.

Calculated values
DOS at the Fermi energy ... 1.11 states/eV/cell

abc: 2.7459 3.5979 6.7172
angles: 90.00 90.00 90.00
Atoms (fractional coordinates):
Mg: 0.5000 0.5000 0.9550
P: 0.0000 0.0000 0.7667
P: 0.5000 0.5000 0.3302
Be: 0.0000 0.0000 0.4481

=====

What is the stability order? It is entry w, entry x, from most stable to least stable.

=====

Entry w
First-principles (PBE-GGA) data for crystalline MgBeP2 at its relaxed geometry, as listed in Alexandria.

Calculated values
DOS at the Fermi energy ... 0.38 states/eV/cell

abc: 6.1309 6.1309 3.9627
angles: 59.37 59.37 33.04
Atoms (fractional coordinates):
Be: 0.5596 0.5596 0.5665
P: 0.9624 0.9624 0.8952
P: 0.1897 0.1897 0.3539
Mg: 0.7883 0.7883 0.6843

=====

Entry x
First-principles (PBE-GGA) data for crystalline MgBeP2 at its relaxed geometry, as listed in Alexandria.

Calculated values
DOS at the Fermi energy ... 0.81 states/eV/cell

abc: 3.3199 3.3199 5.2869
angles: 90.00 90.00 90.00
Atoms (fractional coordinates):
Be: 0.5000 0.5000 0.2500
Mg: 0.5000 0.5000 0.7500
P: 0.0000 0.0000 0.4556
P: 0.0000 0.0000 0.0444

=====

What is the stability order? It is entry w, entry x, from most stable to least stable.

=====

Entry w
First-principles (PBE-GGA) data for crystalline MgBeP2 at its relaxed geometry, as listed in Alexandria.

Calculated values
DOS at the Fermi energy ... 1.38 states/eV/cell

abc: 3.6879 4.4908 3.5160
angles: 90.00 90.00 90.00
Atoms (fractional coordinates):
Be: 0.5000 0.0000 0.5000
P: 0.5000 0.5000 0.0000
P: 0.0000 0.0000 0.0000
Mg: 0.0000 0.5000 0.5000

=====

Entry x
First-principles (PBE-GGA) data for crystalline MgBeP2 at its relaxed geometry, as listed in Alexandria.

Calculated values
DOS at the Fermi energy ... 1.52 states/eV/cell

abc: 4.5288 4.5288 4.5288
angles: 126.63 126.63 78.85
Atoms (fractional coordinates):
P: 0.0000 0.0000 0.0000
P: 0.5000 0.5000 0.0000
Be: 0.2500 0.7500 0.5000
Mg: 0.7500 0.2500 0.5000

=====

What is the stability order? It is entry w, entry x, from most stable to least stable.

=====

Entry w
First-principles (PBE-GGA) data for crystalline MgBeP2 at its relaxed geometry, as listed in Alexandria.

Calculated values
DOS at the Fermi energy ... 0.90 states/eV/cell

abc: 3.3406 3.6407 5.4027
angles: 70.94 90.00 90.00
Atoms (fractional coordinates):
P: 0.0000 0.9976 0.0651
P: 0.0000 0.5024 0.4349
Be: 0.5000 0.2500 0.2500
Mg: 0.5000 0.7500 0.7500

=====

Entry x
First-principles (PBE-GGA) data for crystalline MgBeP2 at its relaxed geometry, as listed in Alexandria.

Calculated values
DOS at the Fermi energy ... 1.11 states/eV/cell

abc: 4.2386 4.2386 3.5631
angles: 80.26 80.26 103.00
Atoms (fractional coordinates):
Mg: 0.0000 0.5000 0.5000
P: 0.5000 0.5000 0.0000
P: 0.0000 0.0000 0.0000
Be: 0.5000 0.0000 0.5000

=====

What is the stability order? It is entry w, entry x, from most stable to least stable.

=====

Entry w
First-principles (PBE-GGA) data for crystalline MgBeP2 at its relaxed geometry, as listed in Alexandria.

Calculated values
DOS at the Fermi energy ... 0.45 states/eV/cell

abc: 4.3238 4.3238 4.3238
angles: 60.00 60.00 60.00
Atoms (fractional coordinates):
P: 0.0000 0.0000 0.0000
P: 0.2500 0.2500 0.2500
Be: 0.5000 0.5000 0.5000
Mg: 0.7500 0.7500 0.7500

=====

Entry x
First-principles (PBE-GGA) data for crystalline MgBeP2 at its relaxed geometry, as listed in Alexandria.

Calculated values
DOS at the Fermi energy ... 2.02 states/eV/cell

abc: 5.2859 5.2859 5.2859
angles: 140.84 140.84 56.57
Atoms (fractional coordinates):
Mg: 0.7500 0.2500 0.5000
P: 0.2500 0.7500 0.5000
P: 0.0000 0.0000 0.0000
Be: 0.5000 0.5000 0.0000

=====

Entry y
First-principles (PBE-GGA) data for crystalline MgBeP2 at its relaxed geometry, as listed in Alexandria.

Calculated values
DOS at the Fermi energy ... 0.86 states/eV/cell

abc: 3.7329 3.7329 5.6580
angles: 76.42 76.42 52.64
Atoms (fractional coordinates):
Be: 0.2500 0.2500 0.2500
P: 0.9977 0.9977 0.0623
P: 0.5023 0.5023 0.4377
Mg: 0.7500 0.7500 0.7500

=====

Entry z
First-principles (PBE-GGA) data for crystalline MgBeP2 at its relaxed geometry, as listed in Alexandria.

Calculated values
DOS at the Fermi energy ... 0.71 states/eV/cell

abc: 3.7773 2.7530 6.5357
angles: 102.21 90.00 90.00
Atoms (fractional coordinates):
P: 0.0000 0.0649 0.7542
P: 0.5000 0.3433 0.3116
Mg: 0.5000 0.6649 0.9540
Be: 0.0000 0.4267 0.4802

=====

What is the stability order? It is entry z, entry y, entry x, entry w, from most stable to least stable.